5
Lattice="6.167 0.000 0.000 0.000 6.167 0.000 0.000 0.000 6.167" Properties=species:S:1:pos:R:3 comment="Ba3TaCd (PBE, optimized geometry)" mass_density_kg_m3=4993 e_above_lowest_polymorph_mev_per_atom=0 magmom_total_mub_per_atom=0.000 pbc="T T T"
Ba 0.000 0.000 3.084
Ba 0.000 3.084 0.000
Ba 3.084 0.000 0.000
Ta 0.000 0.000 0.000
Cd 3.084 3.084 3.084